# 1
Si2AsCl | PBEsol | optimized geometry

Calculated values
- Relative energy among the computed polymorphs: 0.304 eV/atom
- Uncorrected formation energy: 0.264 eV per atom

a = 5.775 Å, b = 5.775 Å, c = 5.775 Å
α = 149.06°, β = 134.14°, γ = 56.35°
Fractional coordinates of all 4 atoms:
1 Si 0.000 0.000 0.000
2 Si 0.797 0.297 0.500
3 As 0.586 0.586 0.000
4 Cl 0.299 0.799 0.500


# 2
Mn3SnO8 | PBEsol | optimized geometry

Calculated values
- Uncorrected formation energy: -1.527 eV per atom

a = 6.045 Å, b = 6.045 Å, c = 6.045 Å
α = 55.88°, β = 55.88°, γ = 55.88°
Fractional coordinates of all 12 atoms:
1 Mn 0.000 0.500 0.500
2 Mn 0.500 0.000 0.500
3 Mn 0.500 0.500 0.000
4 Sn 0.500 0.500 0.500
5 O 0.251 0.251 0.710
6 O 0.251 0.710 0.251
7 O 0.269 0.269 0.269
8 O 0.290 0.749 0.749
9 O 0.710 0.251 0.251
10 O 0.731 0.731 0.731
11 O 0.749 0.290 0.749
12 O 0.749 0.749 0.290


# 3
HgPW2 | PBEsol | optimized geometry

Calculated values
- Relative energy among the computed polymorphs: 0.058 eV/atom
- Formation energy from the elements: 37 kJ/mol of atoms

a = 2.764 Å, b = 2.764 Å, c = 10.024 Å
α = 90.00°, β = 90.00°, γ = 108.89°
Fractional coordinates of all 4 atoms:
1 Hg 0.000 0.000 0.000
2 P 0.500 0.500 0.654
3 W 0.000 0.000 0.465
4 W 0.500 0.500 0.251


# 4
CaGa3Si | PBEsol | optimized geometry

Calculated values
- Uncorrected formation energy: 1.150 eV per atom

a = 5.302 Å, b = 5.302 Å, c = 5.302 Å
α = 90.00°, β = 90.00°, γ = 90.00°
Fractional coordinates of all 5 atoms:
1 Ca 0.000 0.000 0.000
2 Ga 0.000 0.000 0.500
3 Ga 0.000 0.500 0.000
4 Ga 0.500 0.000 0.000
5 Si 0.500 0.500 0.500


# 5
K2LiInAs2 | PBEsol | optimized geometry

Calculated values
- Formation energy from the elements: -55 kJ/mol of atoms

a = 10.063 Å, b = 10.063 Å, c = 6.347 Å
α = 90.00°, β = 90.00°, γ = 101.01°
Fractional coordinates of all 24 atoms:
1 K 0.074 0.426 0.750
2 K 0.173 0.827 0.773
3 K 0.327 0.673 0.273
4 K 0.426 0.074 0.250
5 K 0.574 0.926 0.750
6 K 0.673 0.327 0.727
7 K 0.827 0.173 0.227
8 K 0.926 0.574 0.250
9 Li 0.120 0.120 0.000
10 Li 0.380 0.380 0.500
11 Li 0.620 0.620 0.500
12 Li 0.880 0.880 0.000
13 In 0.132 0.132 0.500
14 In 0.368 0.368 0.000
15 In 0.632 0.632 0.000
16 In 0.868 0.868 0.500
17 As 0.098 0.902 0.268
18 As 0.149 0.351 0.250
19 As 0.351 0.149 0.750
20 As 0.402 0.598 0.768
21 As 0.598 0.402 0.232
22 As 0.649 0.851 0.250
23 As 0.851 0.649 0.750
24 As 0.902 0.098 0.732


# 6
K3NdP2S8 | PBEsol | optimized geometry

Calculated values
- Uncorrected formation energy: -1.085 eV per atom

a = 8.976 Å, b = 16.849 Å, c = 9.476 Å
α = 90.00°, β = 90.43°, γ = 90.00°
Fractional coordinates of all 56 atoms:
1 K 0.116 0.213 0.125
2 K 0.116 0.287 0.625
3 K 0.234 0.032 0.515
4 K 0.234 0.468 0.015
5 K 0.381 0.706 0.869
6 K 0.381 0.794 0.369
7 K 0.619 0.206 0.631
8 K 0.619 0.294 0.131
9 K 0.766 0.532 0.985
10 K 0.766 0.968 0.485
11 K 0.884 0.713 0.375
12 K 0.884 0.787 0.875
13 Nd 0.274 0.513 0.471
14 Nd 0.274 0.987 0.971
15 Nd 0.726 0.013 0.029
16 Nd 0.726 0.487 0.529
17 P 0.027 0.598 0.721
18 P 0.027 0.902 0.221
19 P 0.496 0.102 0.244
20 P 0.496 0.398 0.744
21 P 0.504 0.602 0.256
22 P 0.504 0.898 0.756
23 P 0.973 0.098 0.779
24 P 0.973 0.402 0.279
25 S 0.040 0.022 0.178
26 S 0.040 0.478 0.678
27 S 0.071 0.624 0.925
28 S 0.071 0.876 0.425
29 S 0.168 0.658 0.590
30 S 0.168 0.842 0.090
31 S 0.189 0.129 0.825
32 S 0.189 0.371 0.325
33 S 0.281 0.615 0.224
34 S 0.281 0.885 0.724
35 S 0.378 0.178 0.363
36 S 0.378 0.322 0.863
37 S 0.448 0.517 0.753
38 S 0.448 0.983 0.253
39 S 0.464 0.124 0.032
40 S 0.464 0.376 0.532
41 S 0.536 0.624 0.468
42 S 0.536 0.876 0.968
43 S 0.552 0.017 0.747
44 S 0.552 0.483 0.247
45 S 0.622 0.678 0.137
46 S 0.622 0.822 0.637
47 S 0.719 0.115 0.276
48 S 0.719 0.385 0.776
49 S 0.811 0.629 0.675
50 S 0.811 0.871 0.175
51 S 0.832 0.158 0.910
52 S 0.832 0.342 0.410
53 S 0.929 0.124 0.575
54 S 0.929 0.376 0.075
55 S 0.960 0.522 0.322
56 S 0.960 0.978 0.822


Number 1: magnetic moment 0.0 μB per formula unit. Number 2: magnetic moment 9.0 μB per formula unit. Number 3: magnetic moment 0.0 μB per formula unit. Number 4: magnetic moment 0.0 μB per formula unit. Number 5: magnetic moment 0.0 μB per formula unit. Number 6: magnetic moment 0.0 μB per formula unit.